Record 1
K3Rb12Ag (PBE, optimized geometry); DFT formation energy = 0.04 eV/atom
1.0
6.8208 0.0000 0.0000
0.0000 6.8208 0.0000
0.0000 0.0000 26.9387
K Rb Ag
3 12 1
direct
0.0000 0.0000 0.0000
0.0000 0.0000 0.2667
0.0000 0.0000 0.7333
0.0000 0.5000 0.1345
0.0000 0.5000 0.4022
0.0000 0.5000 0.5978
0.0000 0.5000 0.8655
0.5000 0.0000 0.1345
0.5000 0.0000 0.4022
0.5000 0.0000 0.5978
0.5000 0.0000 0.8655
0.5000 0.5000 0.0000
0.5000 0.5000 0.2691
0.5000 0.5000 0.5000
0.5000 0.5000 0.7309
0.0000 0.0000 0.5000



Record 2
AgBi2Pd6 (PBE, optimized geometry); DFT formation energy = -0.08 eV/atom
1.0
4.8263 -2.7663 0.0000
4.8263 2.7663 0.0000
-1.4499 0.0000 6.4664
Ag Bi Pd
1 2 6
direct
0.0000 0.0000 0.0000
0.3378 0.3378 0.8109
0.6622 0.6622 0.1891
0.1785 0.6622 0.3027
0.1874 0.1874 0.3941
0.3378 0.8215 0.6973
0.6622 0.1785 0.3027
0.8126 0.8126 0.6059
0.8215 0.3378 0.6973



Record 3
Ca2SbPtO (PBE, optimized geometry); formation energy from raw total energies = -1.1900 eV per atom
1.0
4.6629 0.0000 0.0000
0.0000 4.6629 0.0000
0.0000 0.0000 4.6609
Ca Sb Pt O
2 1 1 1
direct
0.0000 0.5000 0.0000
0.5000 0.0000 0.0000
0.0000 0.0000 0.5000
0.5000 0.5000 0.5000
0.0000 0.0000 0.0000



In Bohr magnetons per cell, the magnetic moment values for the records above are, in order, 0.000 0.000 0.000.